Run A
An optimized crystal structure of NdPu2Ru. Source: Alexandria, functional PBE.

Results
symmetry: Pnma

Cell lengths 6.028, 9.406, 14.571 Å; angles 90.00, 90.00, 90.00 degrees
Fractional positions:
1 Pu 0.743 0.559 0.537
2 Pu 0.243 0.059 0.963
3 Pu 0.743 0.941 0.537
4 Pu 0.757 0.559 0.037
5 Pu 0.757 0.941 0.037
6 Pu 0.551 0.561 0.287
7 Pu 0.257 0.441 0.463
8 Pu 0.449 0.439 0.713
9 Pu 0.051 0.439 0.213
10 Pu 0.949 0.561 0.787
11 Pu 0.243 0.441 0.963
12 Pu 0.551 0.939 0.287
13 Pu 0.257 0.059 0.463
14 Pu 0.051 0.061 0.213
15 Pu 0.449 0.061 0.713
16 Pu 0.949 0.939 0.787
17 Ru 0.232 0.250 0.824
18 Ru 0.479 0.250 0.573
19 Ru 0.768 0.750 0.176
20 Ru 0.021 0.250 0.073
21 Ru 0.268 0.250 0.324
22 Ru 0.979 0.750 0.927
23 Ru 0.521 0.750 0.427
24 Ru 0.732 0.750 0.676
25 Nd 0.464 0.750 0.856
26 Nd 0.760 0.250 0.393
27 Nd 0.260 0.750 0.107
28 Nd 0.740 0.250 0.893
29 Nd 0.240 0.750 0.607
30 Nd 0.536 0.250 0.144
31 Nd 0.964 0.250 0.644
32 Nd 0.036 0.750 0.356


Run B
An optimized crystal structure of NdPu2Ru. Source: Alexandria, functional PBE.

Results
symmetry: R-3m

Cell lengths 4.724, 4.724, 5.754 Å; angles 65.76, 65.76, 60.00 degrees
Fractional positions:
1 Pu 0.273 0.273 0.181
2 Pu 0.727 0.727 0.819
3 Nd 0.500 0.500 0.500
4 Ru 0.000 0.000 0.000


Name the most stable of them. run A.


Run A
An optimized crystal structure of Nd2PuRu3. Source: Alexandria, functional PBE.

Results
symmetry: P6_3/mmc

Cell lengths 5.889, 5.889, 8.146 Å; angles 90.00, 90.00, 120.00 degrees
Fractional positions:
1 Ru 0.668 0.834 0.250
2 Ru 0.332 0.166 0.750
3 Ru 0.834 0.166 0.750
4 Ru 0.834 0.668 0.750
5 Ru 0.166 0.332 0.250
6 Ru 0.166 0.834 0.250
7 Pu 0.000 0.000 0.500
8 Pu 0.000 0.000 0.000
9 Nd 0.333 0.667 0.938
10 Nd 0.333 0.667 0.562
11 Nd 0.667 0.333 0.062
12 Nd 0.667 0.333 0.438


Run B
An optimized crystal structure of Nd2PuRu3. Source: Alexandria, functional PBE.

Results
symmetry: Immm

Cell lengths 4.373, 5.609, 6.604 Å; angles 115.13, 109.33, 90.00 degrees
Fractional positions:
1 Nd 0.327 0.827 0.654
2 Nd 0.673 0.173 0.346
3 Ru 0.626 0.626 0.252
4 Ru 0.374 0.374 0.748
5 Ru 0.000 0.000 0.000
6 Pu 0.000 0.500 0.000


Name the most stable of them. run A.


Run A
An optimized crystal structure of NdPuS3. Source: Alexandria, functional PBE.

Results
symmetry: Pnma

Cell lengths 4.005, 7.403, 15.426 Å; angles 90.00, 90.00, 90.00 degrees
Fractional positions:
1 S 0.750 0.628 0.435
2 S 0.750 0.848 0.216
3 S 0.250 0.872 0.935
4 S 0.750 0.348 0.284
5 S 0.250 0.012 0.395
6 S 0.250 0.512 0.105
7 S 0.750 0.988 0.605
8 S 0.250 0.152 0.784
9 S 0.750 0.488 0.895
10 S 0.250 0.372 0.565
11 S 0.750 0.128 0.065
12 S 0.250 0.652 0.716
13 Nd 0.250 0.637 0.296
14 Nd 0.750 0.863 0.796
15 Nd 0.750 0.363 0.704
16 Nd 0.250 0.137 0.204
17 Pu 0.250 0.268 0.960
18 Pu 0.750 0.732 0.040
19 Pu 0.250 0.768 0.540
20 Pu 0.750 0.232 0.460


Run B
An optimized crystal structure of NdPuS3. Source: Alexandria, functional PBE.

Results
symmetry: Imma

Cell lengths 5.480, 8.410, 7.284 Å; angles 125.26, 112.10, 90.00 degrees
Fractional positions:
1 S 0.750 0.143 0.500
2 S 0.556 0.399 0.112
3 S 0.056 0.214 0.112
4 S 0.944 0.786 0.888
5 S 0.250 0.857 0.500
6 S 0.444 0.601 0.888
7 Nd 0.000 0.500 0.000
8 Nd 0.500 0.000 0.000
9 Pu 0.750 0.804 0.500
10 Pu 0.250 0.196 0.500


Name the most stable of them. run A.


Run A
An optimized crystal structure of Nd4Pu3S8. Source: Alexandria, functional PBE.

Results
symmetry: R-3m

Cell lengths 7.939, 7.939, 8.622 Å; angles 62.59, 62.59, 60.00 degrees
Fractional positions:
1 Nd 0.500 0.500 0.500
2 Nd 0.350 0.350 0.951
3 Nd 0.000 0.000 0.000
4 Nd 0.650 0.650 0.049
5 S 0.771 0.771 0.687
6 S 0.757 0.251 0.742
7 S 0.251 0.757 0.742
8 S 0.243 0.749 0.258
9 S 0.229 0.229 0.313
10 S 0.749 0.243 0.258
11 S 0.749 0.749 0.258
12 S 0.251 0.251 0.742
13 Pu 0.000 0.500 0.500
14 Pu 0.500 0.000 0.500
15 Pu 0.000 0.000 0.500


Run B
An optimized crystal structure of Nd4Pu3S8. Source: Alexandria, functional PBE.

Results
symmetry: C2/m

Cell lengths 8.060, 8.034, 8.034 Å; angles 90.03, 120.04, 120.04 degrees
Fractional positions:
1 Nd 0.500 0.000 0.000
2 Nd 0.000 0.500 0.000
3 Nd 0.000 0.000 0.000
4 Nd 0.000 0.000 0.500
5 Pu 0.500 0.500 0.500
6 Pu 0.500 0.000 0.500
7 Pu 0.500 0.500 0.000
8 S 0.500 0.254 0.746
9 S 0.500 0.746 0.254
10 S 0.000 0.749 0.251
11 S 0.000 0.251 0.749
12 S 0.501 0.254 0.254
13 S 0.499 0.746 0.746
14 S 0.996 0.747 0.747
15 S 0.004 0.253 0.253


Name the most stable of them. run B.


Run A
An optimized crystal structure of NdPuSb2. Source: Alexandria, functional PBE.

Results
symmetry: R3m

Cell lengths 4.449, 4.449, 7.968 Å; angles 73.79, 73.79, 60.00 degrees
Fractional positions:
1 Sb 0.254 0.254 0.238
2 Sb 0.080 0.080 0.761
3 Pu 0.669 0.669 0.993
4 Nd 0.498 0.498 0.507


Run B
An optimized crystal structure of NdPuSb2. Source: Alexandria, functional PBE.

Results
symmetry: R-3m

Cell lengths 4.480, 4.480, 7.736 Å; angles 73.17, 73.17, 60.00 degrees
Fractional positions:
1 Nd 0.500 0.500 0.500
2 Pu 0.000 0.000 0.000
3 Sb 0.253 0.253 0.241
4 Sb 0.747 0.747 0.759


Name the most stable of them. run B.


Run A
An optimized crystal structure of NdPu2Sc. Source: Alexandria, functional PBE.

Results
symmetry: P4/mmm

Cell lengths 3.358, 3.358, 9.926 Å; angles 90.00, 90.00, 90.00 degrees
Fractional positions:
1 Pu 0.000 0.000 0.233
2 Pu 0.000 0.000 0.767
3 Sc 0.500 0.500 0.000
4 Nd 0.500 0.500 0.500


Run B
An optimized crystal structure of NdPu2Sc. Source: Alexandria, functional PBE.

Results
symmetry: R3m

Cell lengths 3.599, 3.599, 9.426 Å; angles 79.00, 79.00, 60.00 degrees
Fractional positions:
1 Pu 0.983 0.983 0.050
2 Pu 0.273 0.273 0.181
3 Nd 0.841 0.841 0.478
4 Sc 0.403 0.403 0.791


Name the most stable of them. run B.


Run A
An optimized crystal structure of NdPuSc2. Source: Alexandria, functional PBE.

Results
symmetry: P4/mmm

Cell lengths 4.693, 4.826, 4.826 Å; angles 90.00, 90.00, 90.00 degrees
Fractional positions:
1 Nd 0.500 0.500 0.500
2 Pu 0.500 0.000 0.000
3 Sc 0.000 0.000 0.500
4 Sc 0.000 0.500 0.000


Run B
An optimized crystal structure of NdPuSc2. Source: Alexandria, functional PBE.

Results
symmetry: R3m

Cell lengths 3.378, 3.378, 11.132 Å; angles 81.27, 81.27, 60.00 degrees
Fractional positions:
1 Sc 0.079 0.079 0.762
2 Sc 0.254 0.254 0.239
3 Pu 0.666 0.666 0.001
4 Nd 0.501 0.501 0.498


Name the most stable of them. run B.


Run A
An optimized crystal structure of NdPuSc2. Source: Alexandria, functional PBE.

Results
symmetry: R-3m

Cell lengths 3.279, 3.279, 11.847 Å; angles 82.05, 82.05, 60.00 degrees
Fractional positions:
1 Pu 0.500 0.500 0.500
2 Sc 0.907 0.907 0.278
3 Sc 0.093 0.093 0.722
4 Nd 0.000 0.000 0.000


Run B
An optimized crystal structure of NdPuSc2. Source: Alexandria, functional PBE.

Results
symmetry: P4/mmm

Cell lengths 3.392, 3.392, 9.461 Å; angles 90.00, 90.00, 90.00 degrees
Fractional positions:
1 Sc 0.000 0.000 0.235
2 Sc 0.000 0.000 0.765
3 Nd 0.500 0.500 0.500
4 Pu 0.500 0.500 0.000


Name the most stable of them. run B.


Run A
An optimized crystal structure of Nd2PuSc. Source: Alexandria, functional PBE.

Results
symmetry: R-3m

Cell lengths 3.439, 3.439, 12.331 Å; angles 81.99, 81.99, 60.00 degrees
Fractional positions:
1 Sc 0.500 0.500 0.500
2 Pu 0.000 0.000 0.000
3 Nd 0.909 0.909 0.272
4 Nd 0.091 0.091 0.728


Run B
An optimized crystal structure of Nd2PuSc. Source: Alexandria, functional PBE.

Results
symmetry: Fm-3m

Cell lengths 5.570, 5.570, 5.570 Å; angles 60.00, 60.00, 60.00 degrees
Fractional positions:
1 Nd 0.750 0.750 0.750
2 Nd 0.250 0.250 0.250
3 Sc 0.500 0.500 0.500
4 Pu 0.000 0.000 0.000


Name the most stable of them. run B.


Run A
An optimized crystal structure of Nd2PuSc. Source: Alexandria, functional PBE.

Results
symmetry: P4/mmm

Cell lengths 3.519, 3.519, 9.844 Å; angles 90.00, 90.00, 90.00 degrees
Fractional positions:
1 Nd 0.000 0.000 0.241
2 Nd 0.000 0.000 0.759
3 Sc 0.500 0.500 0.000
4 Pu 0.500 0.500 0.500


Run B
An optimized crystal structure of Nd2PuSc. Source: Alexandria, functional PBE.

Results
symmetry: P4/mmm

Cell lengths 4.806, 5.000, 5.000 Å; angles 90.00, 90.00, 90.00 degrees
Fractional positions:
1 Sc 0.500 0.500 0.500
2 Nd 0.000 0.000 0.500
3 Nd 0.000 0.500 0.000
4 Pu 0.500 0.000 0.000


Name the most stable of them. run A.


Run A
An optimized crystal structure of Nd3PuSe6. Source: Alexandria, functional PBE.

Results
symmetry: P2_1/c

Cell lengths 7.003, 7.798, 10.763 Å; angles 90.00, 90.34, 90.00 degrees
Fractional positions:
1 Pu 0.000 0.000 0.000
2 Pu 0.500 0.500 0.500
3 Se 0.825 0.682 0.584
4 Se 0.659 0.438 0.253
5 Se 0.841 0.938 0.247
6 Se 0.833 0.684 0.918
7 Se 0.333 0.816 0.418
8 Se 0.667 0.184 0.582
9 Se 0.175 0.318 0.416
10 Se 0.341 0.562 0.747
11 Se 0.167 0.316 0.082
12 Se 0.325 0.818 0.084
13 Se 0.159 0.062 0.753
14 Se 0.675 0.182 0.916
15 Nd 0.047 0.604 0.248
16 Nd 0.000 0.000 0.500
17 Nd 0.453 0.104 0.252
18 Nd 0.500 0.500 0.000
19 Nd 0.953 0.396 0.752
20 Nd 0.547 0.896 0.748


Run B
An optimized crystal structure of Nd3PuSe6. Source: Alexandria, functional PBE.

Results
symmetry: P2_1/m

Cell lengths 4.237, 11.863, 12.119 Å; angles 108.56, 90.00, 90.00 degrees
Fractional positions:
1 Nd 0.750 0.425 0.832
2 Nd 0.250 0.319 0.497
3 Nd 0.250 0.841 0.920
4 Nd 0.750 0.159 0.080
5 Nd 0.750 0.681 0.503
6 Nd 0.250 0.575 0.168
7 Se 0.250 0.083 0.897
8 Se 0.750 0.917 0.103
9 Se 0.250 0.890 0.539
10 Se 0.750 0.753 0.281
11 Se 0.250 0.599 0.931
12 Se 0.750 0.812 0.750
13 Se 0.250 0.519 0.384
14 Se 0.750 0.401 0.069
15 Se 0.750 0.481 0.616
16 Se 0.250 0.247 0.719
17 Se 0.250 0.188 0.250
18 Se 0.750 0.110 0.461
19 Pu 0.250 0.957 0.315
20 Pu 0.750 0.043 0.685


Name the most stable of them. run B.